! AcLaHgPb | Alexandria via LeMat-Bulk | PBE | optimized geometry; values from VASP
&SYSTEM
  ibrav = 0, nat = 4, ntyp = 4
/
ATOMIC_SPECIES
Ac 227.00 Ac.upf
La 138.91 La.upf
Hg 200.59 Hg.upf
Pb 207.20 Pb.upf
CELL_PARAMETERS angstrom
-2.4962 -0.2439 3.1853
-1.3751 -3.5667 -1.3507
5.6851 -3.7698 4.1666
ATOMIC_POSITIONS crystal
Ac 0.0000 0.0000 0.8516
La 0.0000 0.0000 0.3632
Hg 0.5000 0.5000 0.5949
Pb 0.5000 0.5000 0.1182
! Relative energy among the computed polymorphs, meV/atom: 10.5
! Space group: No. 99

---

! AcLaHgPd | Alexandria via LeMat-Bulk | PBE | optimized geometry; values from VASP
&SYSTEM
  ibrav = 0, nat = 4, ntyp = 4
/
ATOMIC_SPECIES
Ac 227.00 Ac.upf
Hg 200.59 Hg.upf
Pd 106.42 Pd.upf
La 138.91 La.upf
CELL_PARAMETERS angstrom
-0.6726 2.6289 4.7469
0.2356 -2.7628 4.7125
4.2519 0.6948 3.3668
ATOMIC_POSITIONS crystal
Ac 0.2500 0.2500 0.2500
Hg 0.5000 0.5000 0.5000
Pd 0.0000 0.0000 0.0000
La 0.7500 0.7500 0.7500
! Space group: No. 216

---

! AcLaPmHg | Alexandria via LeMat-Bulk | PBE | optimized geometry; values from VASP
&SYSTEM
  ibrav = 0, nat = 4, ntyp = 4
/
ATOMIC_SPECIES
Ac 227.00 Ac.upf
La 138.91 La.upf
Hg 200.59 Hg.upf
Pm 145.00 Pm.upf
CELL_PARAMETERS angstrom
-0.7705 -5.2153 2.2277
2.4437 -1.3696 4.9909
-3.2275 -0.6647 4.6795
ATOMIC_POSITIONS crystal
Ac 0.0000 0.0000 0.0000
La 0.2500 0.2500 0.2500
Hg 0.5000 0.5000 0.5000
Pm 0.7500 0.7500 0.7500
! Relative energy among the computed polymorphs, meV/atom: 212.5
! Space group: No. 216

---

! AcLaPmHg | Alexandria via LeMat-Bulk | PBE | optimized geometry; values from VASP
&SYSTEM
  ibrav = 0, nat = 4, ntyp = 4
/
ATOMIC_SPECIES
Ac 227.00 Ac.upf
La 138.91 La.upf
Pm 145.00 Pm.upf
Hg 200.59 Hg.upf
CELL_PARAMETERS angstrom
-3.6584 -0.7029 -1.0301
1.2367 -1.6336 -3.2774
0.3766 -8.0463 4.1527
ATOMIC_POSITIONS crystal
Ac 0.0000 0.0000 0.0767
La 0.5000 0.5000 0.7858
Pm 0.5000 0.5000 0.3607
Hg 0.0000 0.0000 0.5615
! Relative energy among the computed polymorphs, meV/atom: 0.0
! Space group: No. 99

---

! Ac2LaPmHg4 | Alexandria via LeMat-Bulk | PBE | optimized geometry; values from VASP
&SYSTEM
  ibrav = 0, nat = 8, ntyp = 4
/
ATOMIC_SPECIES
Ac 227.00 Ac.upf
La 138.91 La.upf
Pm 145.00 Pm.upf
Hg 200.59 Hg.upf
CELL_PARAMETERS angstrom
-0.9985 -4.8412 2.6127
2.3737 -4.7140 -1.8451
7.6486 -1.7099 5.7372
ATOMIC_POSITIONS crystal
Ac 0.7504 0.7504 0.7488
Ac 0.2496 0.2496 0.2512
La 0.0000 0.0000 0.0000
Pm 0.5000 0.5000 0.5000
Hg 0.3762 0.3762 0.8715
Hg 0.8738 0.8738 0.3787
Hg 0.1262 0.1262 0.6213
Hg 0.6238 0.6238 0.1285
! Space group: No. 166

---

! Ac2LaPrHg4 | Alexandria via LeMat-Bulk | PBE | optimized geometry; values from VASP
&SYSTEM
  ibrav = 0, nat = 8, ntyp = 4
/
ATOMIC_SPECIES
Ac 227.00 Ac.upf
La 138.91 La.upf
Pr 140.91 Pr.upf
Hg 200.59 Hg.upf
CELL_PARAMETERS angstrom
5.6078 0.0000 0.0000
2.8039 4.8565 0.0000
2.8039 1.6188 9.1855
ATOMIC_POSITIONS crystal
Ac 0.7504 0.7504 0.7487
Ac 0.2496 0.2496 0.2513
La 0.0000 0.0000 0.0000
Pr 0.5000 0.5000 0.5000
Hg 0.3752 0.3752 0.8745
Hg 0.8747 0.8747 0.3759
Hg 0.1253 0.1253 0.6241
Hg 0.6248 0.6248 0.1255
! Space group: No. 166

---

! AcLaHgPt | Alexandria via LeMat-Bulk | PBE | optimized geometry; values from VASP
&SYSTEM
  ibrav = 0, nat = 4, ntyp = 4
/
ATOMIC_SPECIES
Ac 227.00 Ac.upf
Hg 200.59 Hg.upf
Pt 195.08 Pt.upf
La 138.91 La.upf
CELL_PARAMETERS angstrom
5.4390 0.0000 0.0000
2.7195 4.7103 0.0000
2.7195 1.5701 4.4409
ATOMIC_POSITIONS crystal
Ac 0.0000 0.0000 0.0000
Hg 0.2500 0.2500 0.2500
Pt 0.7500 0.7500 0.7500
La 0.5000 0.5000 0.5000
! Space group: No. 216

---

! Ac2La2Hg2Ru | Alexandria via LeMat-Bulk | PBE | optimized geometry; values from VASP
&SYSTEM
  ibrav = 0, nat = 7, ntyp = 4
/
ATOMIC_SPECIES
Ac 227.00 Ac.upf
La 138.91 La.upf
Hg 200.59 Hg.upf
Ru 101.07 Ru.upf
CELL_PARAMETERS angstrom
-3.6410 -1.7444 1.1017
-1.1108 -2.2624 -7.2303
1.2292 -8.0275 -0.6696
ATOMIC_POSITIONS crystal
Ac 0.2014 0.1907 0.5969
Ac 0.7986 0.8093 0.4031
La 0.4800 0.2303 0.0401
La 0.5200 0.7697 0.9599
Hg 0.1255 0.5661 0.7491
Hg 0.8745 0.4339 0.2509
Ru 0.0000 0.0000 0.0000
! Space group: No. 2

---

! AcLaHgSb | Alexandria via LeMat-Bulk | PBE | optimized geometry; values from VASP
&SYSTEM
  ibrav = 0, nat = 4, ntyp = 4
/
ATOMIC_SPECIES
Sb 121.76 Sb.upf
Ac 227.00 Ac.upf
Hg 200.59 Hg.upf
La 138.91 La.upf
CELL_PARAMETERS angstrom
5.6480 0.0000 0.0000
2.8240 4.8913 0.0000
2.8240 1.6304 4.6116
ATOMIC_POSITIONS crystal
Sb 0.0000 0.0000 0.0000
Ac 0.2500 0.2500 0.2500
Hg 0.5000 0.5000 0.5000
La 0.7500 0.7500 0.7500
! Space group: No. 216

---

! AcLaScHg | Alexandria via LeMat-Bulk | PBE | optimized geometry; values from VASP
&SYSTEM
  ibrav = 0, nat = 4, ntyp = 4
/
ATOMIC_SPECIES
Sc 44.96 Sc.upf
Ac 227.00 Ac.upf
Hg 200.59 Hg.upf
La 138.91 La.upf
CELL_PARAMETERS angstrom
-0.7369 -5.4115 1.0160
0.1086 -3.6518 -4.1848
4.2637 -3.5258 -0.4998
ATOMIC_POSITIONS crystal
Sc 0.0000 0.0000 0.0000
Ac 0.2500 0.2500 0.2500
Hg 0.7500 0.7500 0.7500
La 0.5000 0.5000 0.5000
! Space group: No. 216

---

! AcLaSiHg | Alexandria via LeMat-Bulk | PBE | optimized geometry; values from VASP
&SYSTEM
  ibrav = 0, nat = 4, ntyp = 4
/
ATOMIC_SPECIES
Ac 227.00 Ac.upf
Si 28.09 Si.upf
Hg 200.59 Hg.upf
La 138.91 La.upf
CELL_PARAMETERS angstrom
5.4865 0.0000 0.0000
2.7433 4.7515 0.0000
2.7433 1.5838 4.4797
ATOMIC_POSITIONS crystal
Ac 0.5000 0.5000 0.5000
Si 0.2500 0.2500 0.2500
Hg 0.7500 0.7500 0.7500
La 0.0000 0.0000 0.0000
! Space group: No. 216

---

! AcLaSmHg | Alexandria via LeMat-Bulk | PBE | optimized geometry; values from VASP
&SYSTEM
  ibrav = 0, nat = 4, ntyp = 4
/
ATOMIC_SPECIES
Ac 227.00 Ac.upf
Hg 200.59 Hg.upf
Sm 150.36 Sm.upf
La 138.91 La.upf
CELL_PARAMETERS angstrom
5.7145 0.0000 0.0000
2.8573 4.9489 0.0000
2.8573 1.6496 4.6659
ATOMIC_POSITIONS crystal
Ac 0.0000 0.0000 0.0000
Hg 0.5000 0.5000 0.5000
Sm 0.7500 0.7500 0.7500
La 0.2500 0.2500 0.2500
! Relative energy among the computed polymorphs, meV/atom: 216.6
! Space group: No. 216

---

! Ac2LaSmHg4 | Alexandria via LeMat-Bulk | PBE | optimized geometry; values from VASP
&SYSTEM
  ibrav = 0, nat = 8, ntyp = 4
/
ATOMIC_SPECIES
Ac 227.00 Ac.upf
La 138.91 La.upf
Sm 150.36 Sm.upf
Hg 200.59 Hg.upf
CELL_PARAMETERS angstrom
-2.6937 3.1318 -3.7592
-4.9780 2.2017 1.2521
1.5764 9.2625 2.4379
ATOMIC_POSITIONS crystal
Ac 0.7505 0.7505 0.7486
Ac 0.2495 0.2495 0.2514
La 0.0000 0.0000 0.0000
Sm 0.5000 0.5000 0.5000
Hg 0.3765 0.3765 0.8706
Hg 0.8736 0.8736 0.3792
Hg 0.1264 0.1264 0.6208
Hg 0.6235 0.6235 0.1294
! Space group: No. 166

---

! AcLaSmHg | Alexandria via LeMat-Bulk | PBE | optimized geometry; values from VASP
&SYSTEM
  ibrav = 0, nat = 4, ntyp = 4
/
ATOMIC_SPECIES
Ac 227.00 Ac.upf
La 138.91 La.upf
Sm 150.36 Sm.upf
Hg 200.59 Hg.upf
CELL_PARAMETERS angstrom
-0.1888 0.0016 -3.8510
2.6915 -2.7575 -0.1331
-6.4752 -6.3354 0.3148
ATOMIC_POSITIONS crystal
Ac 0.0000 0.0000 0.0778
La 0.5000 0.5000 0.7856
Sm 0.5000 0.5000 0.3618
Hg 0.0000 0.0000 0.5596
! Relative energy among the computed polymorphs, meV/atom: 0.0
! Space group: No. 99

---

! Ac2LaSn2Hg2 | Alexandria via LeMat-Bulk | PBE | optimized geometry; values from VASP
&SYSTEM
  ibrav = 0, nat = 7, ntyp = 4
/
ATOMIC_SPECIES
Ac 227.00 Ac.upf
La 138.91 La.upf
Sn 118.71 Sn.upf
Hg 200.59 Hg.upf
CELL_PARAMETERS angstrom
4.7478 0.0000 0.0000
2.3739 4.1117 0.0000
2.3739 1.3706 12.6612
ATOMIC_POSITIONS crystal
Ac 0.1200 0.1200 0.6401
Ac 0.8800 0.8800 0.3599
La 0.0000 0.0000 0.0000
Sn 0.7162 0.7162 0.8514
Sn 0.2838 0.2838 0.1486
Hg 0.5921 0.5921 0.2236
Hg 0.4079 0.4079 0.7764
! Space group: No. 166

---

! SrAcLaHg | Alexandria via LeMat-Bulk | PBE | optimized geometry; values from VASP
&SYSTEM
  ibrav = 0, nat = 4, ntyp = 4
/
ATOMIC_SPECIES
Sr 87.62 Sr.upf
Ac 227.00 Ac.upf
La 138.91 La.upf
Hg 200.59 Hg.upf
CELL_PARAMETERS angstrom
3.9355 0.0000 0.0000
0.0000 3.9355 0.0000
0.0000 0.0000 9.8281
ATOMIC_POSITIONS crystal
Sr 0.5000 0.5000 0.7680
Ac 0.0000 0.0000 0.0954
La 0.5000 0.5000 0.3645
Hg 0.0000 0.0000 0.5569
! Relative energy among the computed polymorphs, meV/atom: 0.0
! Space group: No. 99

---

! SrAcLaHg | Alexandria via LeMat-Bulk | PBE | optimized geometry; values from VASP
&SYSTEM
  ibrav = 0, nat = 4, ntyp = 4
/
ATOMIC_SPECIES
Sr 87.62 Sr.upf
Ac 227.00 Ac.upf
Hg 200.59 Hg.upf
La 138.91 La.upf
CELL_PARAMETERS angstrom
5.9338 0.0000 0.0000
2.9669 5.1388 0.0000
2.9669 1.7129 4.8449
ATOMIC_POSITIONS crystal
Sr 0.2500 0.2500 0.2500
Ac 0.0000 0.0000 0.0000
Hg 0.5000 0.5000 0.5000
La 0.7500 0.7500 0.7500
! Relative energy among the computed polymorphs, meV/atom: 291.8
! Space group: No. 216

---

! AcLaThHg | Alexandria via LeMat-Bulk | PBE | optimized geometry; values from VASP
&SYSTEM
  ibrav = 0, nat = 4, ntyp = 4
/
ATOMIC_SPECIES
Ac 227.00 Ac.upf
Hg 200.59 Hg.upf
Th 232.04 Th.upf
La 138.91 La.upf
CELL_PARAMETERS angstrom
-2.8863 4.4556 2.0721
-0.6378 0.6132 5.6297
2.7649 4.1592 2.7446
ATOMIC_POSITIONS crystal
Ac 0.7500 0.7500 0.7500
Hg 0.2500 0.2500 0.2500
Th 0.0000 0.0000 0.0000
La 0.5000 0.5000 0.5000
! Space group: No. 216

---

! AcLa5TlHg2 | Alexandria via LeMat-Bulk | PBE | optimized geometry; values from VASP
&SYSTEM
  ibrav = 0, nat = 18, ntyp = 4
/
ATOMIC_SPECIES
Ac 227.00 Ac.upf
La 138.91 La.upf
Tl 204.38 Tl.upf
Hg 200.59 Hg.upf
CELL_PARAMETERS angstrom
-4.8618 -0.2825 6.2163
6.1297 -4.8034 4.5758
3.6176 7.6424 3.1766
ATOMIC_POSITIONS crystal
Ac 0.0000 0.5000 0.5000
Ac 0.0000 0.0000 0.0000
La 0.5000 0.5000 0.5000
La 0.5000 0.0000 0.0000
La 0.2633 0.1942 0.6942
La 0.2633 0.8058 0.3058
La 0.2633 0.3058 0.1942
La 0.2633 0.6942 0.8058
La 0.7367 0.1942 0.6942
La 0.7367 0.6942 0.8058
La 0.7367 0.8058 0.3058
La 0.7367 0.3058 0.1942
Tl 0.0000 0.0000 0.5000
Tl 0.0000 0.5000 0.0000
Hg 0.5000 0.6114 0.1114
Hg 0.5000 0.1114 0.3886
Hg 0.5000 0.8886 0.6114
Hg 0.5000 0.3886 0.8886
! Space group: No. 127

---

! AcLa2Tl2Hg2 | Alexandria via LeMat-Bulk | PBE | optimized geometry; values from VASP
&SYSTEM
  ibrav = 0, nat = 7, ntyp = 4
/
ATOMIC_SPECIES
Ac 227.00 Ac.upf
La 138.91 La.upf
Tl 204.38 Tl.upf
Hg 200.59 Hg.upf
CELL_PARAMETERS angstrom
-3.6863 3.4303 -0.6490
-1.8449 0.8959 -4.6445
-8.4634 -5.4247 -0.4596
ATOMIC_POSITIONS crystal
Ac 0.0000 0.0000 0.0000
La 0.1390 0.1390 0.5830
La 0.8610 0.8610 0.4170
Tl 0.7319 0.7319 0.8043
Tl 0.2681 0.2681 0.1957
Hg 0.5679 0.5679 0.2962
Hg 0.4321 0.4321 0.7038
! Space group: No. 166

---

So what do the calculations give for total DFT energy (no corrections)? Going down the list: -3.760, -4.193, -3.547, -3.760, -2.853, -2.862, -4.554, -4.351, -4.059, -3.876, -4.131, -3.532, -2.846, -3.749, -3.523, -2.994, -2.702, -4.118, -3.664, -3.061 eV/atom.
So what do the calculations give for V? Going down the list: 32.846, 28.897, 33.141, 33.847, 31.000, 31.270, 28.444, 33.643, 31.850, 30.305, 29.195, 32.989, 30.919, 33.687, 35.309, 38.054, 36.934, 32.717, 35.792, 30.701 Å³ per atom.